# 1
TbTmCu2Ge2 | GGA-PBE | optimized geometry

Unit cell a=4.2309 b=4.2309 c=7.3494 alpha=90.00 beta=90.00 gamma=120.00
Element x y z (fractional)
Tb: 0.0000 0.0000 0.0000
Tm: 0.0000 0.0000 0.5000
Cu: 0.3333 0.6667 0.7382
Cu: 0.6667 0.3333 0.2618
Ge: 0.3333 0.6667 0.2540
Ge: 0.6667 0.3333 0.7460

SG: P-3m1, No. 164

***

# 2
Tb2YCu2Ge2 | GGA-PBE | optimized geometry

Unit cell a=10.4863 b=10.4863 c=10.4863 alpha=23.10 beta=23.10 gamma=23.10
Element x y z (fractional)
Tb: 0.1215 0.1215 0.1215
Tb: 0.8785 0.8785 0.8785
Y: 0.0000 0.0000 0.0000
Cu: 0.3938 0.3938 0.3938
Cu: 0.6062 0.6062 0.6062
Ge: 0.2704 0.2704 0.2704
Ge: 0.7296 0.7296 0.7296

SG: R-3m, No. 166

***

# 3
TbYCuGe | GGA-PBE | optimized geometry

Unit cell a=4.9873 b=4.9873 c=4.9873 alpha=60.00 beta=60.00 gamma=60.00
Element x y z (fractional)
Tb: 0.0000 0.0000 0.0000
Y: 0.5000 0.5000 0.5000
Cu: 0.2500 0.2500 0.2500
Ge: 0.7500 0.7500 0.7500

SG: F-43m, No. 216

***

The calculation returns the following formation enthalpy at 0 K values, one per record and in order: -15.74, -11.71, -11.70 kcal/mol of atoms.